Entry 1:
Crystalline KZrAg3S4 at its relaxed geometry, computed with PBE.

a b c (Å): 6.199 7.768 10.114
angles (deg): 90.00 106.30 90.00
Space group P2_1/m (No. 11)
One atom of each set of equivalent atoms:
K 0.181 0.250 0.368
Zr 0.134 0.250 0.794
Ag 0.288 0.549 0.023
Ag 0.419 0.750 0.276
S 0.062 0.250 0.025
S 0.165 0.750 0.417
S 0.352 0.506 0.773

Computed properties:
Total DFT energy (no corrections) = -4.5972 eV per atom
Energy relative to the lowest polymorph listed for this composition = 0.54 eV/f.u.
M_tot = 0.001 μB per atom

***

Entry 2:
Crystalline Ta2W at its relaxed geometry, computed with PBE.

a b c (Å): 7.569 7.569 7.569
angles (deg): 90.00 90.00 90.00
Space group Fd-3m (No. 227, origin choice 2)
One atom of each set of equivalent atoms:
Ta 0.000 0.000 0.000
W 0.125 0.125 0.625

Computed properties:
Total DFT energy (no corrections) = -11.8363 eV per atom
Energy relative to the lowest polymorph listed for this composition = 1.26 eV/f.u.
M_tot = 0.000 μB per atom

***

Entry 3:
Crystalline Er2Tm2InCo2Ge4 at its relaxed geometry, computed with PBE.

a b c (Å): 15.344 4.204 6.951
angles (deg): 90.00 108.00 90.00
Space group C2/m (No. 12)
One atom of each set of equivalent atoms:
Er 0.091 0.000 0.390
Tm 0.155 0.000 0.940
In 0.000 0.500 0.000
Co 0.220 0.500 0.632
Ge 0.068 0.500 0.661
Ge 0.205 0.500 0.268

Computed properties:
Total DFT energy (no corrections) = -5.5823 eV per atom
M_tot = 0.148 μB per atom

***

Entry 4:
Crystalline CsLuGeSe3 at its relaxed geometry, computed with PBE.

a b c (Å): 4.047 16.551 11.704
angles (deg): 90.00 90.00 90.00
Space group Cmcm (No. 63)
One atom of each set of equivalent atoms:
Cs 0.000 0.222 0.250
Lu 0.000 0.500 0.000
Ge 0.000 0.087 0.750
Se 0.000 0.116 0.517
Se 0.000 0.486 0.750

Computed properties:
Total DFT energy (no corrections) = -4.5408 eV per atom
Energy relative to the lowest polymorph listed for this composition = 0.73 eV/f.u.
M_tot = 0.001 μB per atom

***

> Look up the total DFT energy (no corrections) of the second one.

-11.8363 eV per atom